Record 1
NpScOs | PBE | relaxed

Results
The size of the total moment is 15.33 μB per cell. The value obtained for the energy above the most stable polymorph in this dataset is 0.0 meV/atom. Its formation energy is 0.076 eV per atom.

Unit cell a=6.427 b=6.427 c=6.427 alpha=90.00 beta=90.00 gamma=90.00
Space group F-43m (No. 216)
Asymmetric unit:
1 Np 0.000 0.000 0.000 x4
2 Sc 0.000 0.000 0.500 x4
3 Os 0.250 0.250 0.250 x4

Record 2
Sr2NiOsSe6 | PBE | relaxed

Results
The size of the total moment is 0.00 μB per cell. Its electronic total energy is -47.6 eV/cell.

Unit cell a=6.385 b=6.520 c=6.665 alpha=69.14 beta=66.30 gamma=67.82
Space group P-1 (No. 2)
Asymmetric unit:
1 Sr 0.248 0.248 0.232 x2
2 Ni 0.000 0.000 0.000 x1
3 Os 0.500 0.500 0.500 x1
4 Se 0.164 0.745 0.327 x2
5 Se 0.255 0.666 0.841 x2
6 Se 0.324 0.170 0.712 x2

Record 3
SmGePO | PBE | relaxed

Results
The size of the total moment is 0.01 μB per cell. The value obtained for the energy above the most stable polymorph in this dataset is 0.0 meV/atom.

Unit cell a=4.140 b=4.140 c=8.887 alpha=90.00 beta=90.00 gamma=90.00
Space group P4/nmm (No. 129, origin choice 2)
Asymmetric unit:
1 Sm 0.250 0.250 0.121 x2
2 Ge 0.250 0.750 0.500 x2
3 P 0.250 0.250 0.680 x2
4 O 0.250 0.750 0.000 x2

Record 4
SrNdCuTe3 | PBE | relaxed

Results
The size of the total moment is 0.00 μB per cell. Its electronic total energy is -53.5 eV/cell.

Unit cell a=8.795 b=4.395 c=10.418 alpha=90.00 beta=103.47 gamma=90.00
Space group P2_1/m (No. 11)
Asymmetric unit:
1 Sr 0.219 0.250 0.288 x2
2 Nd 0.310 0.750 0.839 x2
3 Cu 0.077 0.250 0.589 x2
4 Te 0.059 0.250 0.843 x2
5 Te 0.234 0.750 0.532 x2
6 Te 0.427 0.750 0.157 x2

Record 5
RbTeOs | PBE | relaxed

Results
The size of the total moment is 0.12 μB per cell. The value obtained for the energy above the most stable polymorph in this dataset is 0.0 meV/atom.

Unit cell a=6.844 b=6.844 c=6.844 alpha=90.00 beta=90.00 gamma=90.00
Space group F-43m (No. 216)
Asymmetric unit:
1 Rb 0.000 0.000 0.000 x4
2 Te 0.000 0.000 0.500 x4
3 Os 0.250 0.250 0.250 x4

Record 6
ZnCoGeMo | PBE | relaxed

Results
The size of the total moment is 2.77 μB per cell. The value obtained for the energy above the most stable polymorph in this dataset is 0.0 meV/atom.

Unit cell a=6.032 b=6.032 c=6.032 alpha=90.00 beta=90.00 gamma=90.00
Space group F-43m (No. 216)
Asymmetric unit:
1 Zn 0.000 0.000 0.000 x4
2 Co 0.250 0.250 0.750 x4
3 Ge 0.000 0.000 0.500 x4
4 Mo 0.250 0.250 0.250 x4

Look up the size of the total moment of the first one.
15.33 μB per cell